No. 1
A crystal of CaSnP3 relaxed with PBEsol. Source: Alexandria via LeMat-Bulk, functional SCAN.

Summary:
ρ	3.25	g cm⁻³
crystal system	cubic
E_form	1.022	eV/atom

a = 5.0488 Å, b = 5.0488 Å, c = 5.0488 Å
α = 90.00°, β = 90.00°, γ = 90.00°
Last column: nearest neighbours and their distance in Å.
Fractional coordinates of all 5 atoms:
Ca 0.0000 0.0000 0.0000  6 P 2.52
Sn 0.5000 0.5000 0.5000  12 P 3.57
P 0.0000 0.0000 0.5000  2 Ca 2.52
P 0.0000 0.5000 0.0000  2 Ca 2.52
P 0.5000 0.0000 0.0000  2 Ca 2.52

***

No. 2
A crystal of CrPbF2 relaxed with PBEsol. Source: Alexandria via LeMat-Bulk, functional SCAN.

Summary:
ρ	6.60	g cm⁻³
formation energy without anion corrections	-1.740	eV per atom
crystal system	trigonal

a = 8.0014 Å, b = 8.0014 Å, c = 8.0014 Å
α = 24.06°, β = 24.06°, γ = 24.06°
Last column: nearest neighbours and their distance in Å.
Fractional coordinates of all 4 atoms:
Cr 0.0000 0.0000 0.0000  6 F 2.11
Pb 0.5000 0.5000 0.5000  2 F 3.03, 6 Pb 3.33
F 0.3700 0.3700 0.3700  3 Cr 2.11
F 0.6300 0.6300 0.6300  3 Cr 2.11

***

No. 3
A crystal of Mg2Tl2Mo3O12 relaxed with PBEsol. Source: Alexandria via LeMat-Bulk, functional SCAN.

Summary:
ρ	4.98	g cm⁻³
formation energy without anion corrections	-2.204	eV per atom
crystal system	cubic

a = 10.7694 Å, b = 10.7694 Å, c = 10.7694 Å
α = 90.00°, β = 90.00°, γ = 90.00°
Last column: nearest neighbours and their distance in Å.
Fractional coordinates of all 76 atoms:
Mg 0.1145 0.3855 0.6145  6 O 2.06-2.10
Mg 0.1616 0.1616 0.1616  6 O 2.04-2.05
Mg 0.3384 0.8384 0.6616  6 O 2.04-2.05
Mg 0.3855 0.6145 0.1145  6 O 2.06-2.10
Mg 0.6145 0.1145 0.3855  6 O 2.06-2.10
Mg 0.6616 0.3384 0.8384  6 O 2.04-2.05
Mg 0.8384 0.6616 0.3384  6 O 2.04-2.05
Mg 0.8855 0.8855 0.8855  6 O 2.06-2.10
Tl 0.0606 0.5606 0.9394  3 O 2.87
Tl 0.1634 0.8366 0.3366  6 O 2.94-3.03
Tl 0.3366 0.1634 0.8366  6 O 2.94-3.03
Tl 0.4394 0.4394 0.4394  3 O 2.87
Tl 0.5606 0.9394 0.0606  3 O 2.87
Tl 0.6634 0.6634 0.6634  6 O 2.94-3.03
Tl 0.8366 0.3366 0.1634  6 O 2.94-3.03
Tl 0.9394 0.0606 0.5606  3 O 2.87
Mo 0.0274 0.7016 0.6211  4 O 1.75-1.78
Mo 0.1211 0.4726 0.2984  4 O 1.75-1.78
Mo 0.2016 0.8789 0.9726  4 O 1.75-1.78
Mo 0.2984 0.1211 0.4726  4 O 1.75-1.78
Mo 0.3789 0.5274 0.7984  4 O 1.75-1.78
Mo 0.4726 0.2984 0.1211  4 O 1.75-1.78
Mo 0.5274 0.7984 0.3789  4 O 1.75-1.78
Mo 0.6211 0.0274 0.7016  4 O 1.75-1.78
Mo 0.7016 0.6211 0.0274  4 O 1.75-1.78
Mo 0.7984 0.3789 0.5274  4 O 1.75-1.78
Mo 0.8789 0.9726 0.2016  4 O 1.75-1.78
Mo 0.9726 0.2016 0.8789  4 O 1.75-1.78
O 0.0219 0.5459 0.6763  1 Mo 1.78
O 0.0254 0.0424 0.2214  1 Mo 1.76
O 0.0424 0.2214 0.0254  1 Mo 1.76
O 0.0459 0.8237 0.9781  1 Mo 1.78
O 0.0526 0.2960 0.7723  1 Mo 1.76
O 0.1032 0.3181 0.2511  1 Mo 1.75
O 0.1763 0.4781 0.4541  1 Mo 1.78
O 0.1819 0.7489 0.6032  1 Mo 1.75
O 0.2040 0.2277 0.5526  1 Mo 1.76
O 0.2214 0.0254 0.0424  1 Mo 1.76
O 0.2277 0.5526 0.2040  1 Mo 1.76
O 0.2489 0.8968 0.8181  1 Mo 1.75
O 0.2511 0.1032 0.3181  1 Mo 1.75
O 0.2723 0.4474 0.7040  1 Mo 1.76
O 0.2786 0.9746 0.5424  1 Mo 1.76
O 0.2960 0.7723 0.0526  1 Mo 1.76
O 0.3181 0.2511 0.1032  1 Mo 1.75
O 0.3237 0.5219 0.9541  1 Mo 1.78
O 0.3968 0.6819 0.7511  1 Mo 1.75
O 0.4474 0.7040 0.2723  1 Mo 1.76
O 0.4541 0.1763 0.4781  1 Mo 1.78
O 0.4576 0.7786 0.5254  1 Mo 1.76
O 0.4746 0.9576 0.7214  1 Mo 1.76
O 0.4781 0.4541 0.1763  1 Mo 1.78
O 0.5219 0.9541 0.3237  1 Mo 1.78
O 0.5254 0.4576 0.7786  1 Mo 1.76
O 0.5424 0.2786 0.9746  1 Mo 1.76
O 0.5459 0.6763 0.0219  1 Mo 1.78
O 0.5526 0.2040 0.2277  1 Mo 1.76
O 0.6032 0.1819 0.7489  1 Mo 1.75
O 0.6763 0.0219 0.5459  1 Mo 1.78
O 0.6819 0.7511 0.3968  1 Mo 1.75
O 0.7040 0.2723 0.4474  1 Mo 1.76
O 0.7214 0.4746 0.9576  1 Mo 1.76
O 0.7277 0.9474 0.7960  1 Mo 1.76
O 0.7489 0.6032 0.1819  1 Mo 1.75
O 0.7511 0.3968 0.6819  1 Mo 1.75
O 0.7723 0.0526 0.2960  1 Mo 1.76
O 0.7786 0.5254 0.4576  1 Mo 1.76
O 0.7960 0.7277 0.9474  1 Mo 1.76
O 0.8181 0.2489 0.8968  1 Mo 1.75
O 0.8237 0.9781 0.0459  1 Mo 1.78
O 0.8968 0.8181 0.2489  1 Mo 1.75
O 0.9474 0.7960 0.7277  1 Mo 1.76
O 0.9541 0.3237 0.5219  1 Mo 1.78
O 0.9576 0.7214 0.4746  1 Mo 1.76
O 0.9746 0.5424 0.2786  1 Mo 1.76
O 0.9781 0.0459 0.8237  1 Mo 1.78

***

No. 4
A crystal of MgGe2S relaxed with PBEsol. Source: Alexandria via LeMat-Bulk, functional SCAN.

Summary:
ρ	4.54	g cm⁻³
formation energy without anion corrections	0.380	eV per atom
crystal system	cubic

a = 4.7057 Å, b = 4.7057 Å, c = 4.7057 Å
α = 60.00°, β = 60.00°, γ = 60.00°
Last column: nearest neighbours and their distance in Å.
Fractional coordinates of all 4 atoms:
Mg 0.0000 0.0000 0.0000  8 Ge 2.88
Ge 0.2500 0.2500 0.2500  4 S 2.88, 4 Mg 2.88
Ge 0.7500 0.7500 0.7500  4 S 2.88, 4 Mg 2.88
S 0.5000 0.5000 0.5000  8 Ge 2.88

***

No. 5
A crystal of K3HS2O8 relaxed with PBEsol. Source: Alexandria via LeMat-Bulk, functional SCAN.

Summary:
ρ	2.62	g cm⁻³
crystal system	monoclinic
raw total energy	-8.903	eV per atom

a = 5.6789 Å, b = 5.6789 Å, c = 7.8853 Å
α = 111.89°, β = 111.89°, γ = 58.90°
Last column: nearest neighbours and their distance in Å.
Fractional coordinates of all 14 atoms:
K 0.0000 0.0000 0.0000  6 O 2.71-2.84, 2 H 2.79
K 0.1957 0.1957 0.6173  9 O 2.80-2.95
K 0.8043 0.8043 0.3827  9 O 2.80-2.95
H 0.5000 0.5000 0.0000  2 O 1.22
S 0.4280 0.4280 0.2324  4 O 1.46-1.55
S 0.5720 0.5720 0.7676  4 O 1.46-1.55
O 0.2635 0.7002 0.6912  1 S 1.48
O 0.2894 0.2894 0.2569  1 S 1.46
O 0.2998 0.7365 0.3088  1 S 1.48
O 0.3843 0.3843 0.0187  1 H 1.22
O 0.6157 0.6157 0.9813  1 H 1.22
O 0.7002 0.2635 0.6912  1 S 1.48
O 0.7106 0.7106 0.7431  1 S 1.46
O 0.7365 0.2998 0.3088  1 S 1.48

***

No. 6
A crystal of TiAlH2 relaxed with PBEsol. Source: Alexandria via LeMat-Bulk, functional SCAN.

Summary:
ρ	3.40	g cm⁻³
energy relative to the lowest polymorph listed for this composition	0.0000	eV/atom
crystal system	tetragonal

a = 5.2700 Å, b = 5.2700 Å, c = 5.2700 Å
α = 133.76°, β = 133.76°, γ = 67.46°
Last column: nearest neighbours and their distance in Å.
Fractional coordinates of all 8 atoms:
Ti 0.0000 0.0000 0.0000  4 H 1.79
Ti 0.7500 0.2500 0.5000  4 H 1.79
Al 0.2500 0.7500 0.5000  4 H 1.87
Al 0.5000 0.5000 0.0000  4 H 1.87
H 0.1072 0.6250 0.9822  2 Ti 1.79, 2 Al 1.87
H 0.3750 0.3572 0.4822  2 Ti 1.79, 2 Al 1.87
H 0.6428 0.1250 0.0178  2 Ti 1.79, 2 Al 1.87
H 0.8750 0.8928 0.5178  2 Ti 1.79, 2 Al 1.87